Density functional theory data (GGA+U) for crystalline BaNaNiF6 at its relaxed geometry.

Unit cell a=5.402 b=5.635 c=5.635 alpha=120.00 beta=90.00 gamma=90.00
Element x y z (fractional)
Ni: 0.500 0.000 0.000
F: 0.703 0.285 0.011
F: 0.703 0.989 0.274
F: 0.297 0.989 0.715
F: 0.297 0.285 0.274
F: 0.297 0.726 0.011
F: 0.703 0.726 0.715
Ba: 0.000 0.333 0.667
Na: 0.500 0.667 0.333

Output
* SG: P312 (149)
* density of states at the Fermi level: 0.00 states/eV/f.u.
* total DFT energy (no corrections): -4.603 eV/atom